[1]
11
Lattice="-2.452 1.883 -0.761 -3.010 -2.180 4.302 4.452 3.581 1.173" Properties=species:S:1:pos:R:3 comment="TbHf2H8 (PBE, optimized geometry)" dft_energy_ev_per_cell=-55.6 volume_a3_per_cell=88 pbc="T T T"
H 0.447 1.783 2.968
H -1.621 2.064 3.668
H 1.851 2.800 0.962
H -0.865 -0.626 1.236
H 0.612 1.220 1.046
H -0.145 3.910 3.478
H -2.860 0.484 3.752
H -1.457 1.501 1.746
Hf -0.096 3.195 1.552
Hf -0.914 0.089 3.162
Tb -1.226 0.941 -0.381

***

[2]
5
Lattice="2.330 -4.036 0.000 2.330 4.036 0.000 0.000 0.000 5.698" Properties=species:S:1:pos:R:3 comment="Y2Ir3 (PBE, optimized geometry)" delta_e_f_ev_per_atom=-0.0427 e_above_lowest_polymorph_ev_per_fu=3.299 volume_a3_per_cell=107 pbc="T T T"
Ir 0.000 0.000 0.000
Ir 2.330 1.345 1.795
Ir 2.330 -1.345 3.903
Y 2.330 1.345 4.569
Y 2.330 -1.345 1.129

***

[3]
5
Lattice="4.382 0.000 0.000 0.000 4.382 0.000 0.000 0.000 4.382" Properties=species:S:1:pos:R:3 comment="CoMoIr3 (PBE, optimized geometry)" delta_e_f_ev_per_atom=1.5285 e_above_lowest_polymorph_ev_per_fu=6.818 volume_a3_per_cell=84 pbc="T T T"
Co 0.000 0.000 0.000
Mo 2.191 2.191 2.191
Ir 0.000 0.000 2.191
Ir 0.000 2.191 0.000
Ir 2.191 0.000 0.000

***

[4]
20
Lattice="5.389 0.000 0.000 0.000 6.880 0.000 0.000 0.000 6.880" Properties=species:S:1:pos:R:3 comment="ErB4Ir5 (PBE, optimized geometry)" delta_e_f_ev_per_atom=-0.2623 volume_a3_per_cell=255 pbc="T T T"
Ir 1.442 5.429 4.890
Ir 1.442 5.429 1.989
Ir 4.828 0.000 3.440
Ir 0.561 3.440 0.000
Ir 3.948 1.989 1.450
Ir 3.948 4.890 1.450
Ir 3.948 4.890 5.429
Ir 1.442 1.450 1.989
Ir 3.948 1.989 5.429
Ir 1.442 1.450 4.890
B 3.162 5.414 3.440
B 3.162 0.000 4.906
B 3.162 1.466 3.440
B 3.162 0.000 1.974
B 2.228 3.440 1.466
B 2.228 4.906 0.000
B 2.228 1.974 0.000
B 2.228 3.440 5.414
Er 5.389 0.000 0.000
Er 0.000 3.440 3.440

***

[5]
8
Lattice="5.525 0.000 0.000 0.000 5.525 0.000 2.762 2.762 2.918" Properties=species:S:1:pos:R:3 comment="B2RuRh (PBE, optimized geometry)" delta_e_f_ev_per_atom=0.1643 e_above_lowest_polymorph_ev_per_fu=1.295 volume_a3_per_cell=89 pbc="T T T"
B 6.906 6.895 2.188
B 4.143 4.154 2.188
B 1.392 4.143 0.729
B 4.133 1.381 0.729
Ru 2.762 5.525 1.459
Ru 2.762 2.762 0.000
Rh 5.525 2.762 1.459
Rh 0.000 0.000 0.000

***

[6]
10
Lattice="-2.970 17.754 6.512 -4.648 3.558 3.322 3.946 -5.325 1.174" Properties=species:S:1:pos:R:3 comment="Sr3InO (PBE, optimized geometry)" formation_energy_uncorrected_ev_per_atom=-1.209 volume_a3_per_cell=334 pbc="T T T"
Sr -2.346 14.834 8.112
Sr -0.493 11.517 7.098
Sr -1.326 1.154 2.896
Sr -3.179 4.471 3.910
Sr -3.763 8.620 5.449
Sr 0.091 7.368 5.559
In -5.675 13.868 7.212
In 2.003 2.120 3.796
O -6.529 19.977 9.479
O 2.856 -3.989 1.529

***

[7]
5
Lattice="3.940 0.000 0.000 0.000 3.940 0.000 0.000 0.000 3.940" Properties=species:S:1:pos:R:3 comment="TiCr3B (PBE, optimized geometry)" delta_e_f_ev_per_atom=0.1580 e_above_lowest_polymorph_ev_per_fu=0.000 volume_a3_per_cell=61 pbc="T T T"
Cr 0.000 1.970 0.000
Cr 1.970 0.000 0.000
Cr 0.000 0.000 1.970
Ti 1.970 1.970 1.970
B 0.000 0.000 0.000

***

[8]
6
Lattice="6.600 0.000 0.000 3.300 5.716 0.000 3.300 1.905 5.389" Properties=species:S:1:pos:R:3 comment="PmSmLu4 (PBE, optimized geometry)" delta_e_f_ev_per_atom=0.2735 volume_a3_per_cell=203 pbc="T T T"
Sm 0.000 0.000 0.000
Lu 6.600 3.811 0.673
Lu 6.600 1.905 3.368
Lu 4.950 4.764 3.368
Lu 8.251 4.764 3.368
Pm 3.300 1.905 1.347

***

Record-wise Fermi-level density of states values, in states/eV/atom: 0.200 0.646 2.066 0.331 0.580 0.443 1.792 2.176